The following is a DFT calculation (GGA+U) of a geometry-optimized HfVSe2O structure.

POSCAR file:
```
HfVSe2O
1.0
-0.903 4.952 1.608
-3.643 -0.204 -1.418
-1.710 -1.824 4.655
V Hf Se O
1 1 2 1
Cartesian
-3.128 1.462 2.423
0.000 0.000 0.000
-0.855 -0.912 2.328
-0.452 2.476 0.804
-1.821 -0.102 -0.709
```

Summary:
total magnetization: 3.000 μB/f.u.
space group: P4/mmm, No. 123
calculated total energy: -6.869 eV per atom
Fermi-level density of states: 0.49 states/eV per atom